## Co2Sn2S (GGA-PBE)

Data for an optimized crystal structure of Co2Sn2S.

a b c (Å): 7.637 7.637 2.908
angles (deg): 90.00 90.00 90.00
Space group P4/mbm (No. 127)
Unique sites:
1 Co 0.121 0.379 0.000 (multiplicity 4)
2 Sn 0.173 0.673 0.500 (multiplicity 4)
3 S 0.000 0.000 0.500 (multiplicity 2)

Results
Volume (Å³ per cell): 169.6
Crystal system: tetragonal
Distance to the lowest polymorph of the same formula (meV/atom): 159